No. 1
Entry from Alexandria: a geometry-optimized Tc2SbAu structure (PBE).

abc: 5.3983 5.3983 5.3983
angles: 145.18 128.79 63.42
Positions (direct):
Tc1 0.2259 0.2259 0.0000
Tc2 0.7741 0.7741 0.0000
Sb1 0.0000 0.5000 0.5000
Au1 0.5000 0.0000 0.5000

Output
Its formation energy from raw total energies is 0.456 eV per atom. The size of the total moment is 0.0 μB/f.u. Its space-group type is Immm (71).


No. 2
Entry from Alexandria: a geometry-optimized Rb2LiTaS4 structure (PBE).

abc: 13.9823 12.5120 7.5032
angles: 84.70 63.00 32.30
Positions (direct):
Rb1 0.0522 0.0522 0.6978
Rb2 0.3022 0.3022 0.9478
Rb3 0.6978 0.6978 0.0522
Rb4 0.9478 0.9478 0.3022
Li1 0.1250 0.1250 0.1250
Li2 0.8750 0.8750 0.8750
Ta1 0.3750 0.3750 0.3750
Ta2 0.6250 0.6250 0.6250
S1 0.0049 0.3497 0.4373
S2 0.2919 0.5627 0.6503
S3 0.3497 0.0049 0.7081
S4 0.4373 0.7081 0.0049
S5 0.5627 0.2919 0.9951
S6 0.6503 0.9951 0.2919
S7 0.7081 0.4373 0.3497
S8 0.9951 0.6503 0.5627

Output
Its formation energy from raw total energies is -1.255 eV per atom. The size of the total moment is 0.0 μB/f.u. As for the energy above the most stable polymorph in this dataset: 0.14 eV/f.u. Its space-group type is Fddd (70).


No. 3
Entry from Alexandria: a geometry-optimized Ti2MnS structure (PBE).

abc: 5.5604 5.5604 5.5604
angles: 102.92 102.92 123.57
Positions (direct):
Ti1 0.0860 0.6250 0.9610
Ti2 0.3750 0.3360 0.4610
Ti3 0.6640 0.1250 0.0390
Ti4 0.8750 0.9140 0.5390
Mn1 0.2500 0.7500 0.5000
Mn2 0.5000 0.5000 0.0000
S1 0.0000 0.0000 0.0000
S2 0.7500 0.2500 0.5000

Output
Its formation energy from raw total energies is -0.172 eV per atom. The size of the total moment is 3.0 μB/f.u. Its space-group type is I-42d (122).


No. 4
Entry from Alexandria: a geometry-optimized LiZnTe2 structure (PBE).

abc: 7.5324 7.5324 4.1459
angles: 90.07 90.07 26.31
Positions (direct):
Li1 0.0000 0.0000 0.0000
Zn1 0.2420 0.2420 0.4929
Te1 0.4208 0.4208 0.4992
Te2 0.6722 0.6722 0.9940

Output
Its formation energy from raw total energies is -0.405 eV per atom. The size of the total moment is 0.0 μB/f.u. Its space-group type is Cm (8).


No. 5
Entry from Alexandria: a geometry-optimized Dy4CuHg structure (PBE).

abc: 3.5342 3.5342 12.6414
angles: 90.00 90.00 90.00
Positions (direct):
Dy1 0.0000 0.0000 0.1347
Dy2 0.0000 0.0000 0.8653
Dy3 0.5000 0.5000 0.3381
Dy4 0.5000 0.5000 0.6619
Cu1 0.5000 0.5000 0.0000
Hg1 0.0000 0.0000 0.5000

Output
The size of the total moment is 1.8 μB/f.u. As for the energy above the most stable polymorph in this dataset: 0.00 eV/f.u. The value obtained for the formation energy is -0.2088 eV/atom. Its space-group type is P4/mmm (123).


No. 6
Entry from Alexandria: a geometry-optimized MgNi2Pb structure (PBE).

abc: 4.4979 4.4979 4.4979
angles: 60.00 60.00 60.00
Positions (direct):
Mg1 0.0000 0.0000 0.0000
Ni1 0.2500 0.2500 0.2500
Ni2 0.5000 0.5000 0.5000
Pb1 0.7500 0.7500 0.7500

Output
The size of the total moment is 0.0 μB/f.u. The value obtained for the formation energy is 0.1840 eV/atom. Its space-group type is F-43m (216).


No. 7
Entry from Alexandria: a geometry-optimized SrTlRh structure (PBE).

abc: 4.6700 4.6700 4.3703
angles: 90.00 90.00 120.00
Positions (direct):
Sr1 0.0000 0.0000 0.0000
Tl1 0.6667 0.3333 0.5000
Rh1 0.3333 0.6667 0.5000

Output
The size of the total moment is 0.0 μB/f.u. The value obtained for the formation energy is -0.2277 eV/atom. Its space-group type is P-6m2 (187).


No. 8
Entry from Alexandria: a geometry-optimized Hg2Sb structure (PBE).

abc: 5.6062 5.6062 3.0577
angles: 90.00 90.00 120.13
Positions (direct):
Hg1 0.1665 0.8335 0.0000
Hg2 0.8335 0.1665 0.0000
Sb1 0.5000 0.5000 0.0000

Output
Its formation energy from raw total energies is 0.110 eV per atom. The size of the total moment is 0.0 μB/f.u. As for the energy above the most stable polymorph in this dataset: 0.04 eV/f.u. Its space-group type is Cmmm (65).


No. 9
Entry from Alexandria: a geometry-optimized LaNiP4 structure (PBE).

abc: 5.6758 5.6758 8.3772
angles: 90.00 90.00 120.00
Positions (direct):
La1 0.3333 0.6667 0.0000
La2 0.6667 0.3333 0.0000
Ni1 0.0000 0.0000 0.0000
Ni2 0.0000 0.0000 0.5000
P1 0.0000 0.5000 0.3018
P2 0.0000 0.5000 0.6982
P3 0.3333 0.6667 0.5000
P4 0.5000 0.0000 0.3018
P5 0.5000 0.0000 0.6982
P6 0.5000 0.5000 0.3018
P7 0.5000 0.5000 0.6982
P8 0.6667 0.3333 0.5000

Output
The size of the total moment is 0.1 μB/f.u. As for the energy above the most stable polymorph in this dataset: 2.52 eV/f.u. The value obtained for the formation energy is 0.4248 eV/atom. Its space-group type is P6/mmm (191).


No. 10
Entry from Alexandria: a geometry-optimized CaSmInCl6 structure (PBE).

abc: 7.1961 7.1961 13.6418
angles: 90.00 90.00 120.00
Positions (direct):
Ca1 0.3333 0.6667 0.2500
Ca2 0.6667 0.3333 0.7500
Sm1 0.3333 0.6667 0.7500
Sm2 0.6667 0.3333 0.2500
In1 0.0000 0.0000 0.0000
In2 0.0000 0.0000 0.5000
Cl1 0.0040 0.3723 0.6382
Cl2 0.0040 0.6317 0.8618
Cl3 0.3683 0.3723 0.8618
Cl4 0.3683 0.9960 0.6382
Cl5 0.3723 0.0040 0.1382
Cl6 0.3723 0.3683 0.3618
Cl7 0.6277 0.6317 0.6382
Cl8 0.6277 0.9960 0.8618
Cl9 0.6317 0.0040 0.3618
Cl10 0.6317 0.6277 0.1382
Cl11 0.9960 0.3683 0.1382
Cl12 0.9960 0.6277 0.3618

Output
Its formation energy from raw total energies is -2.008 eV per atom. The size of the total moment is 0.0 μB/f.u. Its space-group type is P-31c (163).


No. 11
Entry from Alexandria: a geometry-optimized YSc4Se structure (PBE).

abc: 6.0665 6.0665 6.0665
angles: 60.00 60.00 60.00
Positions (direct):
Y1 0.0000 0.0000 0.0000
Sc1 0.1199 0.6267 0.6267
Sc2 0.6267 0.1199 0.6267
Sc3 0.6267 0.6267 0.1199
Sc4 0.6267 0.6267 0.6267
Se1 0.2500 0.2500 0.2500

Output
Its formation energy from raw total energies is 0.135 eV per atom. The size of the total moment is 3.0 μB/f.u. Its space-group type is F-43m (216).


No. 12
Entry from Alexandria: a geometry-optimized YGa4Pt12 structure (PBE).

abc: 7.4226 7.4226 7.4226
angles: 109.47 109.47 109.47
Positions (direct):
Y1 0.0000 0.0000 0.0000
Ga1 0.0000 0.0000 0.5000
Ga2 0.0000 0.5000 0.0000
Ga3 0.5000 0.0000 0.0000
Ga4 0.5000 0.5000 0.5000
Pt1 0.1527 0.4981 0.3454
Pt2 0.1527 0.8073 0.6546
Pt3 0.1927 0.3454 0.8473
Pt4 0.3454 0.1527 0.4981
Pt5 0.3454 0.8473 0.1927
Pt6 0.4981 0.3454 0.1527
Pt7 0.5019 0.6546 0.8473
Pt8 0.6546 0.1527 0.8073
Pt9 0.6546 0.8473 0.5019
Pt10 0.8073 0.6546 0.1527
Pt11 0.8473 0.1927 0.3454
Pt12 0.8473 0.5019 0.6546

Output
The size of the total moment is 0.0 μB/f.u. The value obtained for the formation energy is -0.1610 eV/atom. Its space-group type is Im-3 (204).